# 1
DFT (PBE-GGA) results for Ti2BeH after structural relaxation.

Cell lengths 4.0099, 4.0099, 4.0099 Å; angles 60.00, 60.00, 60.00 degrees
Sites, in units of the cell vectors:
1 H 0.0000 0.0000 0.0000
2 Be 0.5000 0.5000 0.5000
3 Ti 0.7500 0.7500 0.7500
4 Ti 0.2500 0.2500 0.2500

Calculated values
E_tot: -5.563 eV/atom

# 2
DFT (PBE-GGA) results for ZrCo4 after structural relaxation.

Cell lengths 4.8017, 4.8017, 4.8017 Å; angles 109.47, 109.47, 109.47 degrees
Sites, in units of the cell vectors:
1 Co 0.5000 0.5000 0.5000
2 Co 0.0000 0.0000 0.5000
3 Zr 0.0000 0.0000 0.0000
4 Co 0.5000 0.0000 0.0000
5 Co 0.0000 0.5000 0.0000

Calculated values
E_form: 1.28 eV per atom

# 3
DFT (PBE-GGA) results for Mg3Pa after structural relaxation.

Cell lengths 6.6388, 6.6388, 5.1394 Å; angles 90.00, 90.00, 120.00 degrees
Sites, in units of the cell vectors:
1 Mg 0.8364 0.6727 0.7500
2 Pa 0.6667 0.3333 0.2500
3 Mg 0.1636 0.3273 0.2500
4 Mg 0.6727 0.8364 0.2500
5 Pa 0.3333 0.6667 0.7500
6 Mg 0.3273 0.1636 0.7500
7 Mg 0.8364 0.1636 0.7500
8 Mg 0.1636 0.8364 0.2500

Calculated values
E_form: 0.33 eV per atom

# 4
DFT (PBE-GGA) results for HoZrInOs after structural relaxation.

Cell lengths 3.3127, 3.3127, 7.8640 Å; angles 90.00, 90.00, 90.00 degrees
Sites, in units of the cell vectors:
1 Os 0.0000 0.0000 0.5532
2 In 0.0000 0.0000 0.0869
3 Ho 0.5000 0.5000 0.7854
4 Zr 0.5000 0.5000 0.3592

Calculated values
E_form: -0.40 eV per atom

no.,size of the total moment (μB/f.u.)
1,0.0
2,4.7
3,1.1
4,0.0